w.
Material: Y2BiF
Method: DFT, PBE
State: relaxed

abc: 3.5082 3.5082 28.9564
angles: 90.00 90.00 120.00
Closest atoms and distances in Å follow each position.
Space group R-3m (No. 166, hexagonal axes)
One atom of each set of equivalent atoms:
Y 0.0000 0.0000 0.1071 [6 per cell]  3 F 2.66
Bi 0.0000 0.0000 0.0000 [3 per cell]  2 Y 3.10
F 0.0000 0.0000 0.5000 [3 per cell]  6 Y 2.66

---

x.
Material: Y2BiF
Method: DFT, PBE
State: relaxed

abc: 7.3328 7.3328 7.3328
angles: 90.00 90.00 90.00
Closest atoms and distances in Å follow each position.
Space group Fm-3m (No. 225)
One atom of each set of equivalent atoms:
Y 0.2500 0.2500 0.2500 [8 per cell]  4 F 3.18, 4 Bi 3.18
Bi 0.0000 0.0000 0.0000 [4 per cell]  8 Y 3.18
F 0.0000 0.0000 0.5000 [4 per cell]  8 Y 3.18

---

Which structure is the least stable? The one labeled w.

---

w.
Material: YBi3F
Method: DFT, PBE
State: relaxed

abc: 5.8405 5.8405 5.8405
angles: 90.00 90.00 90.00
Closest atoms and distances in Å follow each position.
Space group Pm-3m (No. 221)
One atom of each set of equivalent atoms:
Y 0.0000 0.0000 0.0000 [1 per cell]  6 Bi 2.92
Bi 0.0000 0.0000 0.5000 [3 per cell]  2 Y 2.92
F 0.5000 0.5000 0.5000 [1 per cell]  12 Bi 4.13

---

x.
Material: YBi3F
Method: DFT, PBE
State: relaxed

abc: 5.0985 5.0985 5.0985
angles: 90.00 90.00 90.00
Closest atoms and distances in Å follow each position.
Space group Pm-3m (No. 221)
One atom of each set of equivalent atoms:
Y 0.0000 0.0000 0.0000 [1 per cell]  12 Bi 3.61
Bi 0.0000 0.5000 0.5000 [3 per cell]  2 F 2.55
F 0.5000 0.5000 0.5000 [1 per cell]  6 Bi 2.55

---

Which structure is the least stable? The one labeled w.

---

w.
Material: ZnBiF2
Method: DFT, PBE
State: relaxed

abc: 6.3892 6.3892 6.3892
angles: 90.00 90.00 90.00
Closest atoms and distances in Å follow each position.
Space group Fm-3m (No. 225)
One atom of each set of equivalent atoms:
Zn 0.0000 0.0000 0.0000 [4 per cell]  8 F 2.77
Bi 0.0000 0.0000 0.5000 [4 per cell]  8 F 2.77
F 0.2500 0.2500 0.2500 [8 per cell]  4 Bi 2.77, 4 Zn 2.77

---

x.
Material: ZnBiF2
Method: DFT, PBE
State: relaxed

abc: 3.2036 3.2036 23.6795
angles: 90.00 90.00 120.00
Closest atoms and distances in Å follow each position.
Space group R-3m (No. 166, hexagonal axes)
One atom of each set of equivalent atoms:
Zn 0.0000 0.0000 0.0000 [3 per cell]  6 F 2.08
Bi 0.0000 0.0000 0.5000 [3 per cell]  2 F 2.99, 6 Bi 3.20
F 0.0000 0.0000 0.3739 [6 per cell]  3 Zn 2.08

---

y.
Material: ZnBiF2
Method: DFT, PBE
State: relaxed

abc: 3.1192 3.1192 23.9652
angles: 90.00 90.00 120.00
Closest atoms and distances in Å follow each position.
Space group R-3m (No. 166, hexagonal axes)
One atom of each set of equivalent atoms:
Zn 0.0000 0.0000 0.0000 [3 per cell]  2 F 2.09
Bi 0.0000 0.0000 0.5000 [3 per cell]  6 F 2.62
F 0.0000 0.0000 0.0871 [6 per cell]  1 Zn 2.09

---

Which structure is the least stable? The one labeled w.

---

w.
Material: ZnBi2F
Method: DFT, PBE
State: relaxed

abc: 4.8804 4.8804 17.3756
angles: 90.00 90.00 90.00
Closest atoms and distances in Å follow each position.
Space group I-42d (No. 122)
One atom of each set of equivalent atoms:
Zn 0.0000 0.0000 0.0000 [4 per cell]  4 Bi 2.89
Bi 0.2000 0.2500 0.6250 [8 per cell]  2 F 2.68, 2 Zn 2.89
F 0.0000 0.0000 0.5000 [4 per cell]  4 Bi 2.68

---

x.
Material: ZnBi2F
Method: DFT, PBE
State: relaxed

abc: 6.9683 6.9683 6.9683
angles: 90.00 90.00 90.00
Closest atoms and distances in Å follow each position.
Space group Fm-3m (No. 225)
One atom of each set of equivalent atoms:
Zn 0.0000 0.0000 0.0000 [4 per cell]  8 Bi 3.02
Bi 0.2500 0.2500 0.2500 [8 per cell]  4 F 3.02, 4 Zn 3.02
F 0.0000 0.0000 0.5000 [4 per cell]  8 Bi 3.02

---

Which structure is the least stable? The one labeled w.